! Cs3Pm3InTe8 GGA-PBE relaxed; values from VASP
! SG: No. 12
! Density of states at the Fermi level, states/eV per atom: 0.680
! Total magnetization, μB per atom: 0.000
! E_form (uncorrected), eV/atom: -1.1070
&SYSTEM
  ibrav = 0, nat = 15, ntyp = 4
/
ATOMIC_SPECIES
Cs 132.91 Cs.upf
Pm 145.00 Pm.upf
In 114.82 In.upf
Te 127.60 Te.upf
CELL_PARAMETERS angstrom
7.823 -4.508 0.000
7.823 4.508 0.000
-5.221 0.000 9.261
ATOMIC_POSITIONS crystal
Cs 0.000 0.000 0.000
Cs 0.000 0.500 0.000
Cs 0.500 0.000 0.000
Pm 0.000 0.500 0.500
Pm 0.500 0.000 0.500
Pm 0.500 0.500 0.500
In 0.000 0.000 0.500
Te 0.225 0.225 0.689
Te 0.226 0.738 0.689
Te 0.262 0.774 0.311
Te 0.268 0.268 0.304
Te 0.732 0.732 0.696
Te 0.738 0.226 0.689
Te 0.774 0.262 0.311
Te 0.775 0.775 0.311


! BiOs2C GGA-PBE relaxed; values from VASP
! SG: No. 122
! Density of states at the Fermi level, states/eV per atom: 0.525
! DFT formation energy, eV per atom: 0.956
! Offset from the most stable computed form, meV per atom: 0
! Total magnetization, μB per atom: 0.000
&SYSTEM
  ibrav = 0, nat = 8, ntyp = 3
/
ATOMIC_SPECIES
Bi 208.98 Bi.upf
Os 190.23 Os.upf
C 12.01 C.upf
CELL_PARAMETERS angstrom
-2.709 2.709 4.991
2.709 -2.709 4.991
2.709 2.709 -4.991
ATOMIC_POSITIONS crystal
Bi 0.000 0.000 0.000
Bi 0.750 0.250 0.500
Os 0.247 0.625 0.122
Os 0.375 0.497 0.622
Os 0.503 0.125 0.878
Os 0.875 0.753 0.378
C 0.250 0.750 0.500
C 0.500 0.500 0.000


! LiZn14Ag GGA-PBE relaxed; values from VASP
! SG: No. 38
! Density of states at the Fermi level, states/eV per atom: 0.189
! DFT formation energy, eV per atom: -0.041
! Total magnetization, μB per atom: 0.000
&SYSTEM
  ibrav = 0, nat = 16, ntyp = 3
/
ATOMIC_SPECIES
Li 6.94 Li.upf
Zn 65.41 Zn.upf
Ag 107.87 Ag.upf
CELL_PARAMETERS angstrom
9.254 0.000 0.000
0.000 2.730 4.757
0.000 -2.730 4.757
ATOMIC_POSITIONS crystal
Li 0.000 0.000 0.000
Zn 0.000 0.005 0.497
Zn 0.000 0.497 0.005
Zn 0.248 0.165 0.165
Zn 0.248 0.667 0.667
Zn 0.249 0.163 0.668
Zn 0.249 0.668 0.163
Zn 0.500 0.333 0.333
Zn 0.500 0.333 0.833
Zn 0.500 0.833 0.333
Zn 0.500 0.833 0.833
Zn 0.751 0.163 0.668
Zn 0.751 0.668 0.163
Zn 0.752 0.165 0.165
Zn 0.752 0.667 0.667
Ag 0.000 0.501 0.501


! CaS2NCl GGA-PBE relaxed; values from VASP
! SG: No. 123
! Density of states at the Fermi level, states/eV per atom: 0.493
! Offset from the most stable computed form, meV per atom: 973
! Total magnetization, μB per atom: 1.201
! E_form (uncorrected), eV/atom: 0.8802
&SYSTEM
  ibrav = 0, nat = 5, ntyp = 4
/
ATOMIC_SPECIES
Ca 40.08 Ca.upf
S 32.06 S.upf
N 14.01 N.upf
Cl 35.45 Cl.upf
CELL_PARAMETERS angstrom
5.568 0.000 0.000
0.000 5.568 0.000
0.000 0.000 4.722
ATOMIC_POSITIONS crystal
Ca 0.000 0.000 0.000
S 0.000 0.500 0.000
S 0.500 0.000 0.000
N 0.000 0.000 0.500
Cl 0.500 0.500 0.500


! AlSi2CI GGA-PBE relaxed; values from VASP
! SG: No. 123
! Density of states at the Fermi level, states/eV per atom: 0.649
! Total magnetization, μB per atom: 0.000
! E_form (uncorrected), eV/atom: 2.1724
&SYSTEM
  ibrav = 0, nat = 5, ntyp = 4
/
ATOMIC_SPECIES
Al 26.98 Al.upf
Si 28.09 Si.upf
C 12.01 C.upf
I 126.90 I.upf
CELL_PARAMETERS angstrom
5.351 0.000 0.000
0.000 5.351 0.000
0.000 0.000 4.102
ATOMIC_POSITIONS crystal
Al 0.000 0.000 0.000
Si 0.000 0.500 0.500
Si 0.500 0.000 0.500
C 0.500 0.500 0.000
I 0.500 0.500 0.500


! MoPbAu2 GGA-PBE relaxed; values from VASP
! SG: No. 139
! Density of states at the Fermi level, states/eV per atom: 1.006
! DFT formation energy, eV per atom: 0.502
! Total magnetization, μB per atom: 0.514
&SYSTEM
  ibrav = 0, nat = 4, ntyp = 3
/
ATOMIC_SPECIES
Mo 95.94 Mo.upf
Pb 207.20 Pb.upf
Au 196.97 Au.upf
CELL_PARAMETERS angstrom
-2.098 2.098 4.488
2.098 -2.098 4.488
2.098 2.098 -4.488
ATOMIC_POSITIONS crystal
Mo 0.000 0.000 0.000
Pb 0.500 0.500 0.000
Au 0.250 0.750 0.500
Au 0.750 0.250 0.500